# KGe3Se3 (PBE-GGA, optimized geometry)
# **Size of the total moment**: 0.00 μB/cell
# **N(E_F)**: 11.935 states/eV/cell
# **E**: -27.18 eV/f.u.
data_KGe3Se3
_chemical_formula_sum 'K6 Ge18 Se18'
_symmetry_space_group_name_H-M 'R -3'
_symmetry_Int_Tables_number 148
_symmetry_space_group_name_Hall '-R 3'
_cell_length_a 8.7077
_cell_length_b 8.7077
_cell_length_c 18.7397
_cell_angle_alpha 90.00
_cell_angle_beta 90.00
_cell_angle_gamma 120.00
loop_
_atom_site_label
_atom_site_type_symbol
_atom_site_fract_x
_atom_site_fract_y
_atom_site_fract_z
_atom_site_occupancy
K1 K 0.0000 0.0000 0.1701 1
Ge1 Ge 0.0072 0.3636 0.7218 1
Se1 Se 0.0182 0.7352 0.4066 1


# KGeSe2 (PBE-GGA, optimized geometry)
# **Size of the total moment**: 2.70 μB/cell
# **N(E_F)**: 6.392 states/eV/cell
# **E**: -13.38 eV/f.u.
data_KGeSe2
_chemical_formula_sum 'K3 Ge3 Se6'
_symmetry_space_group_name_H-M 'R -3 m'
_symmetry_Int_Tables_number 166
_symmetry_space_group_name_Hall '-R 3 2"'
_cell_length_a 5.3636
_cell_length_b 5.3636
_cell_length_c 22.6416
_cell_angle_alpha 90.00
_cell_angle_beta 90.00
_cell_angle_gamma 120.00
loop_
_atom_site_label
_atom_site_type_symbol
_atom_site_fract_x
_atom_site_fract_y
_atom_site_fract_z
_atom_site_occupancy
K1 K 0.0000 0.0000 0.0000 1
Ge1 Ge 0.0000 0.0000 0.5000 1
Se1 Se 0.0000 0.0000 0.3974 1


# KGeSe (PBE-GGA, optimized geometry)
# **Size of the total moment**: 0.00 μB/cell
# **E above lowest polymorph**: 16 meV per atom
# **N(E_F)**: 0.655 states/eV/cell
data_KGeSe
_chemical_formula_sum 'K2 Ge2 Se2'
_symmetry_space_group_name_H-M 'P -1'
_symmetry_Int_Tables_number 2
_symmetry_space_group_name_Hall '-P 1'
_cell_length_a 3.880
_cell_length_b 6.828
_cell_length_c 7.606
_cell_angle_alpha 108.47
_cell_angle_beta 102.71
_cell_angle_gamma 92.46
loop_
_atom_site_label
_atom_site_type_symbol
_atom_site_fract_x
_atom_site_fract_y
_atom_site_fract_z
_atom_site_occupancy
K1 K 0.175 0.162 0.303 1
Ge1 Ge 0.448 0.308 0.911 1
Se1 Se 0.144 0.659 0.306 1


# KGeSe (PBE-GGA, optimized geometry)
# **Size of the total moment**: 0.00 μB/cell
# **E above lowest polymorph**: 60 meV per atom
# **N(E_F)**: 0.080 states/eV/cell
data_KGeSe
_chemical_formula_sum 'K4 Ge4 Se4'
_symmetry_space_group_name_H-M 'C 1 m 1'
_symmetry_Int_Tables_number 8
_symmetry_space_group_name_Hall 'C -2y'
_cell_length_a 18.358
_cell_length_b 4.528
_cell_length_c 4.521
_cell_angle_alpha 90.00
_cell_angle_beta 95.75
_cell_angle_gamma 90.00
loop_
_atom_site_label
_atom_site_type_symbol
_atom_site_fract_x
_atom_site_fract_y
_atom_site_fract_z
_atom_site_occupancy
K1 K 0.000 0.000 0.000 1
K2 K 0.185 0.000 0.565 1
Ge1 Ge 0.281 0.500 0.183 1
Ge2 Ge 0.346 0.000 0.060 1
Se1 Se 0.150 0.500 0.034 1
Se2 Se 0.435 0.000 0.486 1


# KGe2Se2 (PBE-GGA, optimized geometry)
# **Size of the total moment**: 0.00 μB/cell
# **E above lowest polymorph**: 0 meV per atom
# **N(E_F)**: 2.320 states/eV/cell
data_KGe2Se2
_chemical_formula_sum 'K2 Ge4 Se4'
_symmetry_space_group_name_H-M 'I 4/m m m'
_symmetry_Int_Tables_number 139
_symmetry_space_group_name_Hall '-I 4 2'
_cell_length_a 5.238
_cell_length_b 5.238
_cell_length_c 9.720
_cell_angle_alpha 90.00
_cell_angle_beta 90.00
_cell_angle_gamma 90.00
loop_
_atom_site_label
_atom_site_type_symbol
_atom_site_fract_x
_atom_site_fract_y
_atom_site_fract_z
_atom_site_occupancy
K1 K 0.000 0.000 0.000 1
Ge1 Ge 0.000 0.000 0.349 1
Se1 Se 0.000 0.500 0.250 1


# KGe2Se2 (PBE-GGA, optimized geometry)
# **Size of the total moment**: 0.00 μB/cell
# **E above lowest polymorph**: 185 meV per atom
# **N(E_F)**: 4.644 states/eV/cell
data_KGe2Se2
_chemical_formula_sum 'K2 Ge4 Se4'
_symmetry_space_group_name_H-M 'P 4/m b m'
_symmetry_Int_Tables_number 127
_symmetry_space_group_name_Hall '-P 4 2ab'
_cell_length_a 8.362
_cell_length_b 8.362
_cell_length_c 3.734
_cell_angle_alpha 90.00
_cell_angle_beta 90.00
_cell_angle_gamma 90.00
loop_
_atom_site_label
_atom_site_type_symbol
_atom_site_fract_x
_atom_site_fract_y
_atom_site_fract_z
_atom_site_occupancy
K1 K 0.000 0.000 0.000 1
Ge1 Ge 0.106 0.394 0.000 1
Se1 Se 0.158 0.658 0.500 1